# 1
Here is an optimized crystal structure of Ba2LaAs from Alexandria via LeMat-Bulk. Energies are from PBE.

Summary:
* symmetry: Immm
* ΔH_f (0 K): -222 kJ/mol of formula units
* uncorrected energy: -3.93 eV/atom

a = 10.133 Å, b = 10.133 Å, c = 4.512 Å
α = 77.13°, β = 77.13°, γ = 23.54°
Sites, in units of the cell vectors:
As  0.250  0.250  0.250
Ba  0.910  0.910  0.090
Ba  0.590  0.590  0.410
La  0.750  0.750  0.750

---

# 2
Here is an optimized crystal structure of KRbTe3 from Alexandria via LeMat-Bulk. Energies are from PBE.

Summary:
* symmetry: C2/m
* uncorrected energy: -2.94 eV/atom
* polymorph energy (0 for the lowest one): 0.00 eV/f.u.

a = 5.627 Å, b = 6.819 Å, c = 11.929 Å
α = 75.61°, β = 103.64°, γ = 90.00°
Sites, in units of the cell vectors:
K  0.602  0.170  0.203
K  0.398  0.830  0.797
Rb  0.827  0.347  0.654
Rb  0.173  0.653  0.346
Te  0.011  0.740  0.023
Te  0.989  0.260  0.977
Te  0.442  0.297  0.885
Te  0.558  0.703  0.115
Te  0.240  0.080  0.479
Te  0.760  0.920  0.521

---

# 3
Here is an optimized crystal structure of CaSiN2F from Alexandria via LeMat-Bulk. Energies are from PBE.

Summary:
* symmetry: P4/mmm
* uncorrected energy: -6.46 eV/atom
* polymorph energy (0 for the lowest one): 0.00 eV/f.u.

a = 3.572 Å, b = 3.572 Å, c = 4.099 Å
α = 90.00°, β = 90.00°, γ = 90.00°
Sites, in units of the cell vectors:
Ca  0.500  0.500  0.500
N  0.000  0.500  0.000
N  0.500  0.000  0.000
Si  0.000  0.000  0.000
F  0.000  0.000  0.500

---

# 4
Here is an optimized crystal structure of SrY2Mg from Alexandria via LeMat-Bulk. Energies are from PBE.

Summary:
* symmetry: R-3m
* ΔH_f (0 K): 57 kJ/mol of formula units
* uncorrected energy: -3.90 eV/atom

a = 11.845 Å, b = 11.845 Å, c = 11.845 Å
α = 17.97°, β = 17.97°, γ = 17.97°
Sites, in units of the cell vectors:
Mg  0.250  0.250  0.250
Sr  0.750  0.750  0.750
Y  0.989  0.989  0.989
Y  0.511  0.511  0.511

---

# 5
Here is an optimized crystal structure of Bi6SO12 from Alexandria via LeMat-Bulk. Energies are from PBE.

Summary:
* symmetry: R-3
* uncorrected energy: -5.63 eV/atom

a = 6.690 Å, b = 6.690 Å, c = 6.690 Å
α = 100.54°, β = 100.54°, γ = 100.54°
Sites, in units of the cell vectors:
Bi  0.708  0.855  0.414
Bi  0.586  0.292  0.145
Bi  0.145  0.586  0.292
Bi  0.292  0.145  0.586
Bi  0.414  0.708  0.855
Bi  0.855  0.414  0.708
S  0.000  0.000  0.000
O  0.815  0.559  0.429
O  0.429  0.815  0.559
O  0.559  0.429  0.815
O  0.185  0.441  0.571
O  0.571  0.185  0.441
O  0.441  0.571  0.185
O  0.077  0.981  0.257
O  0.019  0.743  0.923
O  0.743  0.923  0.019
O  0.923  0.019  0.743
O  0.981  0.257  0.077
O  0.257  0.077  0.981

---

# 6
Here is an optimized crystal structure of Ac4La from Alexandria via LeMat-Bulk. Energies are from PBE.

Summary:
* symmetry: I4/mmm
* ΔH_f (0 K): 10 kJ/mol of formula units
* uncorrected energy: -4.25 eV/atom
* polymorph energy (0 for the lowest one): 0.00 eV/f.u.

a = 3.960 Å, b = 3.960 Å, c = 14.180 Å
α = 98.03°, β = 98.03°, γ = 90.00°
Sites, in units of the cell vectors:
Ac  0.596  0.596  0.191
Ac  0.198  0.198  0.397
Ac  0.802  0.802  0.603
Ac  0.404  0.404  0.809
La  0.000  0.000  0.000

---

# 7
Here is an optimized crystal structure of Pr3Dy2Tl6 from Alexandria via LeMat-Bulk. Energies are from PBE.

Summary:
* symmetry: I4/mmm
* ΔH_f (0 K): -134 kJ/mol of formula units
* uncorrected energy: -3.56 eV/atom

a = 4.876 Å, b = 4.876 Å, c = 15.011 Å
α = 99.35°, β = 99.35°, γ = 90.00°
Sites, in units of the cell vectors:
Pr  0.000  0.000  0.000
Pr  0.802  0.802  0.603
Pr  0.198  0.198  0.397
Dy  0.446  0.446  0.892
Dy  0.554  0.554  0.108
Tl  0.117  0.617  0.233
Tl  0.617  0.117  0.233
Tl  0.883  0.383  0.767
Tl  0.383  0.883  0.767
Tl  0.693  0.693  0.386
Tl  0.307  0.307  0.614

---

# 8
Here is an optimized crystal structure of NiAsPb4 from Alexandria via LeMat-Bulk. Energies are from PBE.

Summary:
* symmetry: F-43m
* ΔH_f (0 K): 442 kJ/mol of formula units
* uncorrected energy: -3.45 eV/atom

a = 6.310 Å, b = 6.310 Å, c = 6.310 Å
α = 60.00°, β = 60.00°, γ = 60.00°
Sites, in units of the cell vectors:
Ni  0.000  0.000  0.000
As  0.750  0.750  0.750
Pb  0.876  0.375  0.375
Pb  0.375  0.375  0.876
Pb  0.375  0.876  0.375
Pb  0.375  0.375  0.375

---

# 9
Here is an optimized crystal structure of Rb3Cd6Pb5 from Alexandria via LeMat-Bulk. Energies are from PBE.

Summary:
* symmetry: Pmmn
* ΔH_f (0 K): -83 kJ/mol of formula units
* uncorrected energy: -1.99 eV/atom

a = 5.209 Å, b = 11.454 Å, c = 15.199 Å
α = 90.00°, β = 90.00°, γ = 90.00°
Sites, in units of the cell vectors:
Rb  0.000  0.245  0.695
Rb  0.500  0.755  0.195
Rb  0.500  0.755  0.805
Rb  0.000  0.249  0.000
Rb  0.500  0.751  0.500
Rb  0.000  0.245  0.305
Cd  0.000  0.978  0.863
Cd  0.500  0.022  0.637
Cd  0.500  0.384  0.837
Cd  0.500  0.545  0.000
Cd  0.000  0.455  0.500
Cd  0.000  0.616  0.663
Cd  0.000  0.616  0.337
Cd  0.500  0.955  0.000
Cd  0.000  0.978  0.137
Cd  0.500  0.384  0.163
Cd  0.000  0.045  0.500
Cd  0.500  0.022  0.363
Pb  0.000  0.530  0.861
Pb  0.000  0.887  0.668
Pb  0.000  0.758  0.000
Pb  0.500  0.470  0.639
Pb  0.500  0.242  0.500
Pb  0.000  0.530  0.139
Pb  0.500  0.470  0.361
Pb  0.000  0.887  0.332
Pb  0.500  0.113  0.832
Pb  0.500  0.113  0.168

---

# 10
Here is an optimized crystal structure of SrRh3 from Alexandria via LeMat-Bulk. Energies are from PBE.

Summary:
* symmetry: Cmcm
* ΔH_f (0 K): 140 kJ/mol of formula units
* uncorrected energy: -5.57 eV/atom

a = 5.685 Å, b = 5.685 Å, c = 4.693 Å
α = 90.00°, β = 90.00°, γ = 96.88°
Sites, in units of the cell vectors:
Sr  0.410  0.590  0.250
Sr  0.590  0.410  0.750
Rh  0.931  0.069  0.750
Rh  0.069  0.931  0.250
Rh  0.048  0.613  0.750
Rh  0.952  0.387  0.250
Rh  0.387  0.952  0.750
Rh  0.613  0.048  0.250